Computed, not measured: TcNi2AsH after structural relaxation at the PBE level of DFT.

Properties
The raw total energy comes out at -5.995 eV/atom. The total moment is 0.0 μB/cell. For the volume, the calculation gives 10.6 Å³ per atom.

Cell: 3.6934 3.6934 3.8996 Å, 90.00 90.00 90.00°
Atoms (fractional coordinates):
As 0.5000 0.5000 0.5000
Ni 0.5000 0.0000 0.0000
Ni 0.0000 0.5000 0.0000
H 0.0000 0.0000 0.0000
Tc 0.0000 0.0000 0.5000